The following is a PBE calculation of a relaxed structure of Sr4LiCa, from Alexandria.

Unit cell a=7.685 b=7.685 c=7.685 alpha=60.00 beta=60.00 gamma=60.00
Element x y z (fractional)
Sr 0.125 0.125 0.125
Sr 0.125 0.125 0.626
Sr 0.125 0.626 0.125
Sr 0.626 0.125 0.125
Li 0.500 0.500 0.500
Ca 0.750 0.750 0.750

Summary:
- theoretical density (g/cm3) = 2.056
- calculated volume (Å³/atom) = 53.5
- energy relative to the lowest polymorph listed for this composition (eV per atom) = 0.260
- magnetization (μB per formula unit) = 0.0
- space-group type = No. 216
- DOS(E_F) (states/eV per cell) = 7.2
- ΔH_f (0 K) (eV/atom) = 0.272

The following is a PBE calculation of a relaxed structure of YAl2Ni, from Alexandria.

Unit cell a=5.652 b=5.652 c=5.652 alpha=149.02 beta=128.62 gamma=61.22
Element x y z (fractional)
Y 0.000 0.000 0.000
Al 0.289 0.789 0.500
Al 0.711 0.211 0.500
Ni 0.500 0.500 0.000

Summary:
- theoretical density (g/cm3) = 4.652
- calculated volume (Å³/atom) = 18.0
- magnetization (μB per formula unit) = 0.0
- space-group type = No. 71
- DOS(E_F) (states/eV per cell) = 1.9
- ΔH_f (0 K) (eV/atom) = -0.286

The following is a PBE calculation of a relaxed structure of PuPaInPd, from Alexandria.

Unit cell a=5.002 b=5.002 c=5.002 alpha=60.00 beta=60.00 gamma=60.00
Element x y z (fractional)
Pu 0.000 0.000 0.000
Pa 0.250 0.250 0.250
In 0.750 0.750 0.750
Pd 0.500 0.500 0.500

Summary:
- theoretical density (g/cm3) = 13.069
- calculated volume (Å³/atom) = 22.1
- magnetization (μB per formula unit) = 8.0
- space-group type = No. 216
- DOS(E_F) (states/eV per cell) = 6.9
- ΔH_f (0 K) (eV/atom) = -0.230

The following is a PBE calculation of a relaxed structure of SrAcY2, from Alexandria.

Unit cell a=5.414 b=5.414 c=5.327 alpha=90.00 beta=90.00 gamma=90.00
Element x y z (fractional)
Sr 0.000 0.000 0.000
Ac 0.500 0.500 0.000
Y 0.000 0.500 0.500
Y 0.500 0.000 0.500

Summary:
- theoretical density (g/cm3) = 5.236
- calculated volume (Å³/atom) = 39.0
- energy relative to the lowest polymorph listed for this composition (eV per atom) = 0.049
- magnetization (μB per formula unit) = 0.0
- space-group type = No. 123
- DOS(E_F) (states/eV per cell) = 7.8
- ΔH_f (0 K) (eV/atom) = 0.184

The following is a PBE calculation of a relaxed structure of YPb, from Alexandria.

Unit cell a=10.654 b=9.699 c=6.640 alpha=90.00 beta=90.00 gamma=90.00
Element x y z (fractional)
Y 0.107 0.250 0.000
Y 0.107 0.250 0.500
Y 0.183 0.630 0.250
Y 0.183 0.870 0.750
Y 0.389 0.032 0.250
Y 0.389 0.468 0.750
Y 0.611 0.532 0.250
Y 0.611 0.968 0.750
Y 0.817 0.130 0.250
Y 0.817 0.370 0.750
Y 0.893 0.750 0.000
Y 0.893 0.750 0.500
Pb 0.089 0.551 0.750
Pb 0.089 0.949 0.250
Pb 0.340 0.134 0.750
Pb 0.340 0.366 0.250
Pb 0.416 0.750 0.000
Pb 0.416 0.750 0.500
Pb 0.584 0.250 0.000
Pb 0.584 0.250 0.500
Pb 0.660 0.634 0.750
Pb 0.660 0.866 0.250
Pb 0.911 0.051 0.750
Pb 0.911 0.449 0.250

Summary:
- theoretical density (g/cm3) = 8.600
- calculated volume (Å³/atom) = 28.6
- magnetization (μB per formula unit) = 0.0
- space-group type = No. 57
- DOS(E_F) (states/eV per cell) = 13.2
- ΔH_f (0 K) (eV/atom) = -0.528

The following is a PBE calculation of a relaxed structure of Ca2PmHfAs4, from Alexandria.

Unit cell a=7.117 b=4.085 c=7.276 alpha=90.00 beta=108.79 gamma=90.00
Element x y z (fractional)
Ca 0.000 0.000 0.000
Ca 0.500 0.500 0.000
Pm 0.000 0.500 0.500
Hf 0.500 0.000 0.500
As 0.264 0.000 0.736
As 0.274 0.500 0.273
As 0.726 0.500 0.727
As 0.736 0.000 0.264

Summary:
- theoretical density (g/cm3) = 5.831
- calculated volume (Å³/atom) = 25.0
- magnetization (μB per formula unit) = 0.0
- space-group type = No. 10
- DOS(E_F) (states/eV per cell) = 3.9
- ΔH_f (0 K) (eV/atom) = -1.160

The following is a PBE calculation of a relaxed structure of FeAs2BrCl, from Alexandria.

Unit cell a=4.648 b=4.648 c=4.963 alpha=90.00 beta=90.00 gamma=90.00
Element x y z (fractional)
Fe 0.000 0.000 0.000
As 0.000 0.500 0.000
As 0.500 0.000 0.000
Br 0.000 0.000 0.500
Cl 0.500 0.500 0.500

Summary:
- theoretical density (g/cm3) = 4.971
- calculated volume (Å³/atom) = 21.4
- energy relative to the lowest polymorph listed for this composition (eV per atom) = 0.000
- magnetization (μB per formula unit) = 1.6
- space-group type = No. 123
- DOS(E_F) (states/eV per cell) = 4.5

The following is a PBE calculation of a relaxed structure of Fe5As3, from Alexandria.

Unit cell a=5.070 b=5.070 c=4.111 alpha=90.00 beta=90.00 gamma=101.00
Element x y z (fractional)
Fe 0.000 0.000 0.000
Fe 0.000 0.500 0.000
Fe 0.305 0.305 0.500
Fe 0.500 0.000 0.000
Fe 0.695 0.695 0.500
As 0.201 0.799 0.500
As 0.500 0.500 0.000
As 0.799 0.201 0.500

Summary:
- theoretical density (g/cm3) = 8.068
- calculated volume (Å³/atom) = 13.0
- energy relative to the lowest polymorph listed for this composition (eV per atom) = 0.045
- magnetization (μB per formula unit) = 10.7
- space-group type = No. 65
- DOS(E_F) (states/eV per cell) = 8.6
- ΔH_f (0 K) (eV/atom) = 0.048

The following is a PBE calculation of a relaxed structure of MgTe2Br, from Alexandria.

Unit cell a=4.806 b=3.940 c=8.320 alpha=90.00 beta=105.81 gamma=90.00
Element x y z (fractional)
Mg 0.000 0.000 0.000
Te 0.134 0.500 0.293
Te 0.609 0.000 0.240
Br 0.900 0.500 0.795

Summary:
- theoretical density (g/cm3) = 3.937
- calculated volume (Å³/atom) = 37.9
- energy relative to the lowest polymorph listed for this composition (eV per atom) = 0.000
- magnetization (μB per formula unit) = 0.0
- space-group type = No. 6
- DOS(E_F) (states/eV per cell) = 0.1

The following is a PBE calculation of a relaxed structure of Zr2Ge2Au, from Alexandria.

Unit cell a=7.521 b=7.521 c=3.634 alpha=90.00 beta=90.00 gamma=90.00
Element x y z (fractional)
Zr 0.149 0.351 0.000
Zr 0.351 0.851 0.000
Zr 0.649 0.149 0.000
Zr 0.851 0.649 0.000
Ge 0.156 0.656 0.500
Ge 0.344 0.156 0.500
Ge 0.656 0.844 0.500
Ge 0.844 0.344 0.500
Au 0.000 0.000 0.000
Au 0.500 0.500 0.000

Summary:
- theoretical density (g/cm3) = 8.478
- calculated volume (Å³/atom) = 20.6
- energy relative to the lowest polymorph listed for this composition (eV per atom) = 0.309
- magnetization (μB per formula unit) = 0.0
- space-group type = No. 127
- DOS(E_F) (states/eV per cell) = 9.8
- ΔH_f (0 K) (eV/atom) = -0.317

The following is a PBE calculation of a relaxed structure of AcScS3, from Alexandria.

Unit cell a=8.233 b=4.032 c=13.765 alpha=90.00 beta=90.00 gamma=90.00
Element x y z (fractional)
Ac 0.081 0.250 0.171
Ac 0.419 0.750 0.671
Ac 0.581 0.250 0.329
Ac 0.919 0.750 0.829
Sc 0.156 0.750 0.444
Sc 0.344 0.250 0.944
Sc 0.656 0.750 0.056
Sc 0.844 0.250 0.556
S 0.023 0.750 0.611
S 0.163 0.750 0.010
S 0.198 0.250 0.784
S 0.302 0.750 0.284
S 0.337 0.250 0.510
S 0.477 0.250 0.111
S 0.523 0.750 0.889
S 0.663 0.750 0.490
S 0.698 0.250 0.716
S 0.802 0.750 0.216
S 0.837 0.250 0.990
S 0.977 0.250 0.389

Summary:
- theoretical density (g/cm3) = 5.351
- calculated volume (Å³/atom) = 22.8
- energy relative to the lowest polymorph listed for this composition (eV per atom) = 0.000
- magnetization (μB per formula unit) = 0.0
- space-group type = No. 62
- DOS(E_F) (states/eV per cell) = 0.0

The following is a PBE calculation of a relaxed structure of LiIn3Br, from Alexandria.

Unit cell a=5.203 b=5.203 c=5.203 alpha=90.00 beta=90.00 gamma=90.00
Element x y z (fractional)
Li 0.000 0.000 0.000
In 0.000 0.000 0.500
In 0.000 0.500 0.000
In 0.500 0.000 0.000
Br 0.500 0.500 0.500

Summary:
- theoretical density (g/cm3) = 5.084
- calculated volume (Å³/atom) = 28.2
- energy relative to the lowest polymorph listed for this composition (eV per atom) = 0.000
- magnetization (μB per formula unit) = 0.0
- space-group type = No. 221
- DOS(E_F) (states/eV per cell) = 2.2

Copy entry 9 word for word.
The following is a PBE calculation of a relaxed structure of MgTe2Br, from Alexandria.

Unit cell a=4.806 b=3.940 c=8.320 alpha=90.00 beta=105.81 gamma=90.00
Element x y z (fractional)
Mg 0.000 0.000 0.000
Te 0.134 0.500 0.293
Te 0.609 0.000 0.240
Br 0.900 0.500 0.795

Summary:
- theoretical density (g/cm3) = 3.937
- calculated volume (Å³/atom) = 37.9
- energy relative to the lowest polymorph listed for this composition (eV per atom) = 0.000
- magnetization (μB per formula unit) = 0.0
- space-group type = No. 6
- DOS(E_F) (states/eV per cell) = 0.1